1.
NdSm2S, optimized geometry, DFT PBE; energy relative to the lowest polymorph listed for this composition = 0.004 eV/atom; E_tot = -5.5078 eV/atom; raw formation energy = -0.924 eV/atom
1.0
3.8059 0.0000 0.0000
1.9030 3.2960 0.0000
1.9030 1.0987 9.5862
Nd Sm S
1 2 1
Direct
0.5000 0.5000 0.5000
0.7277 0.7277 0.8169
0.2723 0.2723 0.1831
0.0000 0.0000 0.0000



2.
PRu3S, optimized geometry, DFT PBE; energy relative to the lowest polymorph listed for this composition = 0.000 eV/atom; E_tot = -6.7054 eV/atom; raw formation energy = 0.768 eV/atom
1.0
4.3337 0.0000 0.0000
0.0000 4.3337 0.0000
0.0000 0.0000 4.3337
P Ru S
1 3 1
Direct
0.5000 0.5000 0.5000
0.5000 0.0000 0.0000
0.0000 0.0000 0.5000
0.0000 0.5000 0.0000
0.0000 0.0000 0.0000